(1)
Material: Pr2ErTl9
Method: DFT, PBE
State: optimized geometry

## Properties
For the density, the calculation gives 11.3 Mg/m³. Its formation enthalpy at 0 K is -0.285 eV per atom.

Cell: 4.8231 4.8231 14.4531 Å, 90.00 90.00 90.00°
Last column: nearest neighbours and their distance in Å.
Atoms (fractional coordinates):
Pr  0.0000  0.0000  0.1688  12 Tl 3.41-3.44
Pr  0.0000  0.0000  0.8312  12 Tl 3.41-3.44
Er  0.0000  0.0000  0.5000  12 Tl 3.36-3.41
Tl  0.0000  0.5000  0.0000  8 Tl 3.41-3.42, 4 Pr 3.43
Tl  0.0000  0.5000  0.3383  8 Tl 3.36-3.45, 2 Er 3.36, 2 Pr 3.44
Tl  0.0000  0.5000  0.6617  8 Tl 3.36-3.45, 2 Er 3.36, 2 Pr 3.44
Tl  0.5000  0.0000  0.0000  8 Tl 3.41-3.42, 4 Pr 3.43
Tl  0.5000  0.0000  0.3383  8 Tl 3.36-3.45, 2 Er 3.36, 2 Pr 3.44
Tl  0.5000  0.0000  0.6617  8 Tl 3.36-3.45, 2 Er 3.36, 2 Pr 3.44
Tl  0.5000  0.5000  0.1679  4 Pr 3.41, 8 Tl 3.42-3.45
Tl  0.5000  0.5000  0.5000  8 Tl 3.36, 4 Er 3.41
Tl  0.5000  0.5000  0.8321  4 Pr 3.41, 8 Tl 3.42-3.45

=====

(2)
Material: Pr4ErTl2
Method: DFT, PBE
State: optimized geometry

## Properties
For the density, the calculation gives 8.1 Mg/m³. The polymorph energy (0 for the lowest one) is 0.000 eV per atom. Its formation enthalpy at 0 K is -0.076 eV per atom.

Cell: 4.8638 6.0435 8.3946 Å, 96.91 96.62 105.05°
Last column: nearest neighbours and their distance in Å.
Atoms (fractional coordinates):
Pr  0.0000  0.0000  0.0000  2 Tl 3.18, 2 Er 3.35
Pr  0.0000  0.0000  0.5000  4 Tl 3.17-3.49, 2 Pr 3.26
Pr  0.2009  0.5691  0.3240  1 Er 3.26, 1 Pr 3.26, 3 Tl 3.34-3.50
Pr  0.7991  0.4309  0.6760  1 Er 3.26, 1 Pr 3.26, 3 Tl 3.34-3.50
Er  0.5000  0.5000  0.0000  2 Tl 3.26, 4 Pr 3.26-3.35
Tl  0.4467  0.8338  0.7279  6 Pr 3.17-3.50, 1 Er 3.26
Tl  0.5533  0.1662  0.2721  6 Pr 3.17-3.50, 1 Er 3.26

=====

(3)
Material: Pr2ErTl2
Method: DFT, PBE
State: optimized geometry

## Properties
For the density, the calculation gives 9.3 Mg/m³. The polymorph energy (0 for the lowest one) is 0.077 eV per atom. Its formation enthalpy at 0 K is -0.239 eV per atom.

Cell: 9.3055 9.3055 6.6874 Å, 90.00 90.00 148.08°
Last column: nearest neighbours and their distance in Å.
Atoms (fractional coordinates):
Pr  0.0077  0.9923  0.5000  5 Tl 3.31-3.53, 2 Pr 3.35, 4 Er 3.60-3.68
Pr  0.2016  0.7984  0.9567  6 Tl 3.19-3.52
Pr  0.7984  0.2016  0.4567  6 Tl 3.19-3.52
Pr  0.9923  0.0077  0.0000  5 Tl 3.31-3.53, 2 Pr 3.35, 4 Er 3.60-3.68
Er  0.3903  0.6097  0.7386  5 Tl 3.29-3.59, 7 Pr 3.58-3.68
Er  0.6097  0.3903  0.2386  5 Tl 3.29-3.59, 7 Pr 3.58-3.68
Tl  0.1922  0.8078  0.4634  5 Pr 3.19-3.39, 2 Er 3.31
Tl  0.4094  0.5906  0.2496  3 Er 3.29-3.59, 6 Pr 3.40-3.53, 2 Tl 3.68
Tl  0.5906  0.4094  0.7496  3 Er 3.29-3.59, 6 Pr 3.40-3.53, 2 Tl 3.68
Tl  0.8078  0.1922  0.9634  5 Pr 3.19-3.39, 2 Er 3.31

=====

(4)
Material: Pr5ErTl
Method: DFT, PBE
State: optimized geometry

## Properties
For the density, the calculation gives 7.2 Mg/m³. Its formation enthalpy at 0 K is 0.158 eV per atom.

Cell: 4.9055 4.9055 10.3583 Å, 90.00 90.00 90.00°
Last column: nearest neighbours and their distance in Å.
Atoms (fractional coordinates):
Pr  0.0000  0.0000  0.0000  4 Tl 3.47, 8 Pr 3.55
Pr  0.0000  0.5000  0.2482  6 Pr 3.47-3.55, 2 Tl 3.55, 2 Er 3.58
Pr  0.0000  0.5000  0.7518  6 Pr 3.47-3.55, 2 Tl 3.55, 2 Er 3.58
Pr  0.5000  0.0000  0.2482  6 Pr 3.47-3.55, 2 Tl 3.55, 2 Er 3.58
Pr  0.5000  0.0000  0.7518  6 Pr 3.47-3.55, 2 Tl 3.55, 2 Er 3.58
Er  0.5000  0.5000  0.5000  8 Pr 3.58
Tl  0.5000  0.5000  0.0000  12 Pr 3.47-3.55

=====

(5)
Material: Pr2Er2Tl5
Method: DFT, PBE
State: optimized geometry

## Properties
For the density, the calculation gives 9.9 Mg/m³. Its formation enthalpy at 0 K is -0.167 eV per atom.

Cell: 9.7970 9.7970 9.7970 Å, 77.44 136.29 119.65°
Last column: nearest neighbours and their distance in Å.
Atoms (fractional coordinates):
Pr  0.0349  0.1279  0.1628  5 Tl 3.18-3.43
Pr  0.0349  0.3721  0.4070  5 Tl 3.18-3.43
Pr  0.9651  0.6279  0.5930  5 Tl 3.18-3.43
Pr  0.9651  0.8721  0.8372  5 Tl 3.18-3.43
Er  0.4339  0.4339  0.0000  6 Tl 3.16-3.17
Er  0.4339  0.9339  0.5000  6 Tl 3.16-3.17
Er  0.5450  0.8137  0.2313  6 Tl 3.16-3.44
Er  0.5824  0.3137  0.7687  6 Tl 3.16-3.44
Tl  0.0749  0.4340  0.9463  3 Tl 2.97-3.33, 2 Er 3.16-3.29, 2 Pr 3.24-3.30
Tl  0.0749  0.6286  0.1409  3 Tl 2.97-3.33, 2 Er 3.16-3.29, 2 Pr 3.24-3.30
Tl  0.0814  0.0329  0.5485  2 Er 3.16-3.20, 4 Tl 3.33-3.36, 2 Pr 3.43
Tl  0.4844  0.5329  0.4515  2 Er 3.16-3.20, 4 Tl 3.33-3.36, 2 Pr 3.43
Tl  0.4877  0.1286  0.0537  3 Tl 2.97-3.33, 2 Er 3.16-3.29, 2 Pr 3.24-3.30
Tl  0.4877  0.9340  0.8591  3 Tl 2.97-3.33, 2 Er 3.16-3.29, 2 Pr 3.24-3.30
Tl  0.5187  0.2539  0.3462  3 Tl 3.10-3.36, 2 Er 3.16-3.17, 2 Pr 3.18-3.33
Tl  0.5187  0.6725  0.7648  3 Tl 3.10-3.36, 2 Er 3.16-3.17, 2 Pr 3.18-3.33
Tl  0.9077  0.1725  0.6538  3 Tl 3.10-3.36, 2 Er 3.16-3.17, 2 Pr 3.18-3.33
Tl  0.9077  0.7539  0.2352  3 Tl 3.10-3.36, 2 Er 3.16-3.17, 2 Pr 3.18-3.33

=====

(6)
Material: Pr6Er2Tl
Method: DFT, PBE
State: optimized geometry

## Properties
For the density, the calculation gives 7.6 Mg/m³. Its formation enthalpy at 0 K is -0.032 eV per atom.

Cell: 10.9674 10.9674 5.0078 Å, 90.00 90.00 90.00°
Last column: nearest neighbours and their distance in Å.
Atoms (fractional coordinates):
Pr  0.0068  0.3326  0.0000  8 Pr 3.56-3.85, 3 Er 3.61-3.63, 1 Tl 3.65
Pr  0.1563  0.1563  0.5000  2 Tl 3.49, 4 Er 3.52-3.74, 6 Pr 3.56-3.85
Pr  0.1674  0.5068  0.5000  8 Pr 3.56-3.85, 3 Er 3.61-3.63, 1 Tl 3.65
Pr  0.3326  0.0068  0.0000  8 Pr 3.56-3.85, 3 Er 3.61-3.63, 1 Tl 3.65
Pr  0.3437  0.6563  0.0000  2 Tl 3.49, 4 Er 3.52-3.74, 6 Pr 3.56-3.85
Pr  0.4932  0.8326  0.5000  8 Pr 3.56-3.85, 3 Er 3.61-3.63, 1 Tl 3.65
Pr  0.5068  0.1674  0.5000  8 Pr 3.56-3.85, 3 Er 3.61-3.63, 1 Tl 3.65
Pr  0.6563  0.3437  0.0000  2 Tl 3.49, 4 Er 3.52-3.74, 6 Pr 3.56-3.85
Pr  0.6674  0.9932  0.0000  8 Pr 3.56-3.85, 3 Er 3.61-3.63, 1 Tl 3.65
Pr  0.8326  0.4932  0.5000  8 Pr 3.56-3.85, 3 Er 3.61-3.63, 1 Tl 3.65
Pr  0.8437  0.8437  0.5000  2 Tl 3.49, 4 Er 3.52-3.74, 6 Pr 3.56-3.85
Pr  0.9932  0.6674  0.0000  8 Pr 3.56-3.85, 3 Er 3.61-3.63, 1 Tl 3.65
Er  0.1642  0.8358  0.5000  10 Pr 3.52-3.74, 2 Tl 3.57
Er  0.3358  0.3358  0.0000  10 Pr 3.52-3.74, 2 Tl 3.57
Er  0.6642  0.6642  0.0000  10 Pr 3.52-3.74, 2 Tl 3.57
Er  0.8358  0.1642  0.5000  10 Pr 3.52-3.74, 2 Tl 3.57
Tl  0.0000  0.0000  0.0000  8 Pr 3.49-3.65, 4 Er 3.57
Tl  0.5000  0.5000  0.5000  8 Pr 3.49-3.65, 4 Er 3.57

=====

(7)
Material: Pr12ErTl6
Method: DFT, PBE
State: optimized geometry

## Properties
For the density, the calculation gives 8.4 Mg/m³. Its formation enthalpy at 0 K is -0.169 eV per atom.

Cell: 8.4810 8.4810 8.4810 Å, 88.84 88.84 88.84°
Last column: nearest neighbours and their distance in Å.
Atoms (fractional coordinates):
Pr  0.0784  0.1210  0.3839  3 Pr 3.12-3.40, 1 Tl 3.34
Pr  0.1210  0.3839  0.0784  3 Pr 3.12-3.40, 1 Tl 3.34
Pr  0.1912  0.4713  0.5640  4 Tl 3.36-3.53, 4 Pr 3.46-3.57
Pr  0.3839  0.0784  0.1210  3 Pr 3.12-3.40, 1 Tl 3.34
Pr  0.4360  0.8088  0.5287  4 Tl 3.36-3.53, 4 Pr 3.46-3.57
Pr  0.4713  0.5640  0.1912  4 Tl 3.36-3.53, 4 Pr 3.46-3.57
Pr  0.5287  0.4360  0.8088  4 Tl 3.36-3.53, 4 Pr 3.46-3.57
Pr  0.5640  0.1912  0.4713  4 Tl 3.36-3.53, 4 Pr 3.46-3.57
Pr  0.6161  0.9216  0.8790  3 Pr 3.12-3.40, 1 Tl 3.34
Pr  0.8088  0.5287  0.4360  4 Tl 3.36-3.53, 4 Pr 3.46-3.57
Pr  0.8790  0.6161  0.9216  3 Pr 3.12-3.40, 1 Tl 3.34
Pr  0.9216  0.8790  0.6161  3 Pr 3.12-3.40, 1 Tl 3.34
Er  0.0000  0.0000  0.0000  6 Tl 3.30, 6 Pr 3.51
Tl  0.1253  0.7465  0.2731  1 Er 3.30, 7 Pr 3.34-3.54, 2 Tl 3.53
Tl  0.2535  0.7269  0.8747  1 Er 3.30, 7 Pr 3.34-3.54, 2 Tl 3.53
Tl  0.2731  0.1253  0.7465  1 Er 3.30, 7 Pr 3.34-3.54, 2 Tl 3.53
Tl  0.7269  0.8747  0.2535  1 Er 3.30, 7 Pr 3.34-3.54, 2 Tl 3.53
Tl  0.7465  0.2731  0.1253  1 Er 3.30, 7 Pr 3.34-3.54, 2 Tl 3.53
Tl  0.8747  0.2535  0.7269  1 Er 3.30, 7 Pr 3.34-3.54, 2 Tl 3.53

=====

(8)
Material: Pr2Er6Tl
Method: DFT, PBE
State: optimized geometry

## Properties
For the density, the calculation gives 8.7 Mg/m³. Its formation enthalpy at 0 K is 0.001 eV per atom.

Cell: 9.5880 9.5880 9.5880 Å, 158.93 115.91 68.28°
Last column: nearest neighbours and their distance in Å.
Atoms (fractional coordinates):
Pr  0.1512  0.1512  0.0000  10 Er 3.46-3.64, 2 Pr 3.51
Pr  0.8488  0.8488  0.0000  10 Er 3.46-3.64, 2 Pr 3.51
Er  0.1607  0.8229  0.3378  1 Tl 3.26, 7 Er 3.30-3.58, 3 Pr 3.46-3.64
Er  0.2043  0.5000  0.7043  2 Tl 3.48, 6 Er 3.51-3.58, 4 Pr 3.63
Er  0.4851  0.8229  0.6622  1 Tl 3.26, 7 Er 3.30-3.58, 3 Pr 3.46-3.64
Er  0.5149  0.1771  0.3378  1 Tl 3.26, 7 Er 3.30-3.58, 3 Pr 3.46-3.64
Er  0.7957  0.5000  0.2957  2 Tl 3.48, 6 Er 3.51-3.58, 4 Pr 3.63
Er  0.8393  0.1771  0.6622  1 Tl 3.26, 7 Er 3.30-3.58, 3 Pr 3.46-3.64
Tl  0.5000  0.0000  0.5000  8 Er 3.26-3.48, 2 Tl 3.51

=====

(9)
Material: PrErTl3
Method: DFT, PBE
State: optimized geometry

## Properties
For the density, the calculation gives 9.9 Mg/m³. Its formation enthalpy at 0 K is -0.150 eV per atom.

Cell: 7.3823 7.3823 6.5354 Å, 90.00 90.00 120.00°
Last column: nearest neighbours and their distance in Å.
Atoms (fractional coordinates):
Pr  0.3333  0.6667  0.2500  12 Tl 3.70-3.71
Pr  0.6667  0.3333  0.7500  12 Tl 3.70-3.71
Er  0.0000  0.0000  0.0000  6 Tl 3.02, 2 Er 3.27
Er  0.0000  0.0000  0.5000  6 Tl 3.02, 2 Er 3.27
Tl  0.1984  0.3968  0.7500  2 Tl 2.99, 2 Er 3.02
Tl  0.1984  0.8016  0.7500  2 Tl 2.99, 2 Er 3.02
Tl  0.3968  0.1984  0.2500  2 Tl 2.99, 2 Er 3.02
Tl  0.6032  0.8016  0.7500  2 Tl 2.99, 2 Er 3.02
Tl  0.8016  0.1984  0.2500  2 Tl 2.99, 2 Er 3.02
Tl  0.8016  0.6032  0.2500  2 Tl 2.99, 2 Er 3.02

=====

(10)
Material: Pr3Er4Tl4
Method: DFT, PBE
State: optimized geometry

## Properties
For the density, the calculation gives 9.2 Mg/m³. Its formation enthalpy at 0 K is -0.214 eV per atom.

Cell: 9.8131 9.8131 9.8131 Å, 152.65 127.11 60.55°
Last column: nearest neighbours and their distance in Å.
Atoms (fractional coordinates):
Pr  0.0000  0.0000  0.0000  6 Tl 3.52-3.90
Pr  0.3859  0.8859  0.5000  6 Tl 3.48-3.51, 4 Er 3.63, 1 Pr 3.87
Pr  0.6141  0.1141  0.5000  6 Tl 3.48-3.51, 4 Er 3.63, 1 Pr 3.87
Er  0.0288  0.3298  0.6990  4 Tl 3.03-3.12
Er  0.3693  0.6702  0.6990  4 Tl 3.03-3.12
Er  0.6307  0.3298  0.3010  4 Tl 3.03-3.12
Er  0.9712  0.6702  0.3010  4 Tl 3.03-3.12
Tl  0.2304  0.2304  0.0000  6 Er 3.07-3.12
Tl  0.3032  0.5000  0.8032  2 Er 3.03
Tl  0.6968  0.5000  0.1968  2 Er 3.03
Tl  0.7696  0.7696  0.0000  6 Er 3.07-3.12